Density functional theory data (GGA-PBEsol) for an optimized crystal structure of Pd3CS.

Properties
Raw formation energy (eV/atom): 1.295

a = 4.3698 Å, b = 4.3698 Å, c = 4.3698 Å
α = 90.00°, β = 90.00°, γ = 90.00°
Closest atoms and distances in Å follow each position.
Atoms (fractional coordinates):
Pd  0.0000  0.0000  0.5000  2 S 2.18
Pd  0.0000  0.5000  0.0000  2 S 2.18
Pd  0.5000  0.0000  0.0000  2 S 2.18
S  0.0000  0.0000  0.0000  6 Pd 2.18
C  0.5000  0.5000  0.5000  12 Pd 3.09

***

Density functional theory data (GGA-PBEsol) for an optimized crystal structure of ScPdC2.

Properties
E (eV/cell): -58.0

a = 4.5999 Å, b = 4.5999 Å, c = 6.1379 Å
α = 112.01°, β = 112.01°, γ = 90.00°
Closest atoms and distances in Å follow each position.
Atoms (fractional coordinates):
Sc  0.7500  0.2500  0.5000  4 C 2.21
Sc  0.5000  0.5000  0.0000  4 C 2.21
C  0.9211  0.3750  0.2500  2 Pd 1.97, 2 Sc 2.21
C  0.6250  0.6711  0.7500  2 Pd 1.97, 2 Sc 2.21
C  0.1250  0.0789  0.7500  2 Pd 1.97, 2 Sc 2.21
C  0.3289  0.8750  0.2500  2 Pd 1.97, 2 Sc 2.21
Pd  0.2500  0.7500  0.5000  4 C 1.97
Pd  0.0000  0.0000  0.0000  4 C 1.97

***

> Which formula does entry 2 have?

ScPdC2

***

> Number 1 is which compound?

Pd3CS